No. 1
Below is a relaxed NaFeN crystal, with properties calculated at the GGA-PBE level.

Final energy in eV per atom: -5.9880
Calculated volume in Å³/cell: 77.48
Crystal system: trigonal
Symmetry: R-3m, No. 166

Cell and atoms, written as POSCAR:
```
NaFeN
1.0
-8.2999 4.2204 4.0717
-6.5980 6.6715 3.9033
-8.2019 5.8005 1.5365
Fe N Na
2 2 2
direct
0.2969 0.2969 0.2969
0.7031 0.7031 0.7031
0.0537 0.0537 0.0537
0.9463 0.9463 0.9463
0.4483 0.4483 0.4483
0.5517 0.5517 0.5517
```

No. 2
Below is a relaxed Nb4FeN3 crystal, with properties calculated at the GGA-PBE level.

Final energy in eV per atom: -9.8012
Calculated volume in Å³/cell: 193.75
Crystal system: hexagonal
Symmetry: P6_3/mmc, No. 194

Cell and atoms, written as POSCAR:
```
Nb4FeN3
1.0
-0.2211 3.0983 -0.1352
-0.8773 -1.7287 -2.4308
-21.4670 -1.1578 8.5708
Fe N Nb
2 6 8
direct
0.3333 0.6667 0.2500
0.6667 0.3333 0.7500
0.0000 0.0000 0.0000
0.6667 0.3333 0.1144
0.6667 0.3333 0.3856
0.0000 0.0000 0.5000
0.3333 0.6667 0.6144
0.3333 0.6667 0.8856
0.3333 0.6667 0.0583
0.0000 0.0000 0.1667
0.0000 0.0000 0.3333
0.3333 0.6667 0.4417
0.6667 0.3333 0.5583
0.0000 0.0000 0.6667
0.0000 0.0000 0.8333
0.6667 0.3333 0.9417
```

No. 3
Below is a relaxed Nb4FeNiN2 crystal, with properties calculated at the GGA-PBE level.

Final energy in eV per atom: -9.2647
Calculated volume in Å³/cell: 107.81
Crystal system: hexagonal
Symmetry: P-6m2, No. 187

Cell and atoms, written as POSCAR:
```
Nb4FeNiN2
1.0
3.0928 0.0000 0.0000
-1.5464 2.6784 0.0000
0.0000 0.0000 13.0142
Fe N Nb Ni
1 2 4 1
direct
0.0000 0.0000 0.0000
0.6667 0.3333 0.2495
0.6667 0.3333 0.7505
0.3333 0.6667 0.1544
0.0000 0.0000 0.3453
0.0000 0.0000 0.6547
0.3333 0.6667 0.8456
0.3333 0.6667 0.5000
```

No. 4
Below is a relaxed Nb4FePN2 crystal, with properties calculated at the GGA-PBE level.

Final energy in eV per atom: -9.4387
Calculated volume in Å³/cell: 108.07
Crystal system: hexagonal
Symmetry: P-6m2, No. 187

Cell and atoms, written as POSCAR:
```
Nb4FePN2
1.0
-2.8252 -0.6271 1.3212
2.6524 -1.2222 1.2617
1.1586 9.9441 7.1973
Fe N Nb P
1 2 4 1
direct
0.6667 0.3333 0.5000
0.3333 0.6667 0.2464
0.3333 0.6667 0.7536
0.6667 0.3333 0.1425
0.0000 0.0000 0.3400
0.0000 0.0000 0.6600
0.6667 0.3333 0.8575
0.0000 0.0000 0.0000
```

No. 5
Below is a relaxed Nb4FePN2 crystal, with properties calculated at the GGA-PBE level.

Final energy in eV per atom: -9.4388
Calculated volume in Å³/cell: 108.14
Crystal system: hexagonal
Symmetry: P-6m2, No. 187

Cell and atoms, written as POSCAR:
```
Nb4FePN2
1.0
-2.9283 -1.1301 0.5191
2.5410 -1.7248 0.8303
-0.0604 5.2784 11.1505
Fe N Nb P
1 2 4 1
direct
0.0000 0.0000 0.0000
0.3333 0.6667 0.2537
0.3333 0.6667 0.7463
0.6667 0.3333 0.1600
0.0000 0.0000 0.3575
0.0000 0.0000 0.6425
0.6667 0.3333 0.8400
0.6667 0.3333 0.5000
```

No. 6
Below is a relaxed Nb4FePbN2 crystal, with properties calculated at the GGA-PBE level.

Final energy in eV per atom: -8.9729
Calculated volume in Å³/cell: 119.30
Crystal system: hexagonal
Symmetry: P-6m2, No. 187

Cell and atoms, written as POSCAR:
```
Nb4FePbN2
1.0
3.1676 0.0000 0.0000
-1.5838 2.7432 0.0000
0.0000 0.0000 13.7301
Fe N Nb Pb
1 2 4 1
direct
0.0000 0.0000 0.0000
0.3333 0.6667 0.2314
0.3333 0.6667 0.7686
0.6667 0.3333 0.1442
0.0000 0.0000 0.3185
0.0000 0.0000 0.6815
0.6667 0.3333 0.8558
0.6667 0.3333 0.5000
```

No. 7
Below is a relaxed Nb4FeSbN2 crystal, with properties calculated at the GGA-PBE level.

Final energy in eV per atom: -9.0751
Calculated volume in Å³/cell: 116.70
Crystal system: hexagonal
Symmetry: P-6m2, No. 187

Cell and atoms, written as POSCAR:
```
Nb4FeSbN2
1.0
3.1925 0.0000 0.0000
-1.5962 2.7647 0.0000
0.0000 0.0000 13.2217
Fe N Nb Sb
1 2 4 1
direct
0.0000 0.0000 0.0000
0.3333 0.6667 0.2388
0.3333 0.6667 0.7612
0.6667 0.3333 0.1491
0.0000 0.0000 0.3291
0.0000 0.0000 0.6709
0.6667 0.3333 0.8509
0.6667 0.3333 0.5000
```

No. 8
Below is a relaxed Sc4Nb2Fe3N3 crystal, with properties calculated at the GGA-PBE level.

Final energy in eV per atom: -8.5723
Calculated volume in Å³/cell: 327.90
Crystal system: monoclinic
Symmetry: C2/c, No. 15

Cell and atoms, written as POSCAR:
```
Sc4Nb2Fe3N3
1.0
4.5959 -2.6456 0.0000
4.5959 2.6456 0.0000
-3.1932 0.0000 13.4842
Fe N Nb Sc
6 6 4 8
direct
0.9044 0.5840 0.2492
0.9232 0.0768 0.2500
0.4160 0.0956 0.2508
0.5840 0.9044 0.7492
0.0768 0.9232 0.7500
0.0956 0.4160 0.7508
0.0000 0.5000 0.0000
0.6572 0.1858 0.0002
0.8142 0.3428 0.4998
0.5000 0.0000 0.5000
0.1858 0.6572 0.5002
0.3428 0.8142 0.9998
0.3695 0.5406 0.1147
0.4594 0.6305 0.3853
0.5406 0.3695 0.6147
0.6305 0.4594 0.8853
0.6955 0.8631 0.0882
0.0280 0.1986 0.0883
0.8014 0.9720 0.4117
0.1369 0.3045 0.4118
0.8631 0.6955 0.5882
0.1986 0.0280 0.5883
0.9720 0.8014 0.9117
0.3045 0.1369 0.9118
```

Which of these has the lowest calculated volume? NaFeN

Which value of calculated volume does entry 3 give? 107.81 Å³/cell

What did the sixth record say?
Below is a relaxed Nb4FePbN2 crystal, with properties calculated at the GGA-PBE level.

Final energy in eV per atom: -8.9729
Calculated volume in Å³/cell: 119.30
Crystal system: hexagonal
Symmetry: P-6m2, No. 187

Cell and atoms, written as POSCAR:
```
Nb4FePbN2
1.0
3.1676 0.0000 0.0000
-1.5838 2.7432 0.0000
0.0000 0.0000 13.7301
Fe N Nb Pb
1 2 4 1
direct
0.0000 0.0000 0.0000
0.3333 0.6667 0.2314
0.3333 0.6667 0.7686
0.6667 0.3333 0.1442
0.0000 0.0000 0.3185
0.0000 0.0000 0.6815
0.6667 0.3333 0.8558
0.6667 0.3333 0.5000
```